Below is a relaxed Li2AlSb crystal, with properties calculated at the PBE level.

Cell lengths 10.2440, 3.0978, 4.9554 Å; angles 90.00, 96.64, 90.00 degrees
Space group Cm (No. 8)
Inequivalent atoms, fractional coordinates:
1 Li 0.0000 0.0000 0.0000 x2
2 Li 0.2440 0.0000 0.7419 x2
3 Al 0.2473 0.5000 0.2332 x2
4 Sb 0.0015 0.5000 0.4978 x2

Properties
* D(E_F): 2.84 states/eV/cell
* calculated volume: 156.2 Å³ per cell
* formation energy from raw total energies: -209 meV/atom
* calculated density: 3.5 g/cm³

Below is a relaxed LiAlSb2 crystal, with properties calculated at the PBE level.

Cell lengths 4.1799, 5.0500, 8.5835 Å; angles 90.00, 90.00, 90.00 degrees
Space group Immm (No. 71)
Inequivalent atoms, fractional coordinates:
1 Li 0.0000 0.0000 0.0000 x2
2 Al 0.0000 0.0000 0.5000 x2
3 Sb 0.0000 0.5000 0.2460 x4

Properties
* D(E_F): 2.41 states/eV/cell
* calculated volume: 181.2 Å³ per cell
* formation energy from raw total energies: -61 meV/atom
* calculated density: 5.1 g/cm³

Below is a relaxed LiAlSb2 crystal, with properties calculated at the PBE level.

Cell lengths 3.1922, 4.1411, 7.2530 Å; angles 90.00, 90.00, 90.00 degrees
Space group Pmm2 (No. 25)
Inequivalent atoms, fractional coordinates:
1 Li 0.0000 0.0000 0.0000 x1
2 Al 0.5000 0.5000 0.7821 x1
3 Sb 0.0000 0.0000 0.5953 x1
4 Sb 0.5000 0.5000 0.1621 x1

Properties
* D(E_F): 1.11 states/eV/cell
* calculated volume: 95.9 Å³ per cell
* formation energy from raw total energies: -102 meV/atom
* calculated density: 4.8 g/cm³